No. 1
Computed, not measured: a PBEsol-optimized structure of YGeH at the meta-GGA SCAN level of DFT.

Properties
energy	-17.6296	eV/atom
M_tot	0.000	μB per atom

a b c (Å): 6.0100 6.0100 3.9313
angles (deg): 90.00 90.00 140.97
With the nearest neighbours (Å) after each atom.
Fractional coordinates of all 6 atoms:
Y1 0.1491 0.8509 0.7500  4 H 2.29-2.30
Y2 0.8509 0.1491 0.2500  4 H 2.29-2.30
Ge1 0.4325 0.5675 0.7500  2 Ge 2.49
Ge2 0.5675 0.4325 0.2500  2 Ge 2.49
H1 0.2546 0.7454 0.2500  4 Y 2.29-2.30
H2 0.7454 0.2546 0.7500  4 Y 2.29-2.30

=====

No. 2
Computed, not measured: a PBEsol-optimized structure of Y2Ge2H at the meta-GGA SCAN level of DFT.

Properties
energy	-19.5112	eV/atom
M_tot	0.002	μB per atom

a b c (Å): 8.2094 8.2094 8.2094
angles (deg): 154.31 154.31 36.66
With the nearest neighbours (Å) after each atom.
Fractional coordinates of all 5 atoms:
Y1 0.1031 0.1031 0.0000  4 Ge 2.93, 4 H 3.04, 1 Y 3.21
Y2 0.8969 0.8969 0.0000  4 Ge 2.93, 4 H 3.04, 1 Y 3.21
Ge1 0.2500 0.7500 0.5000  4 Ge 2.58
Ge2 0.7500 0.2500 0.5000  4 Ge 2.58
H1 0.5000 0.5000 0.0000  8 Y 3.04

=====

No. 3
Computed, not measured: a PBEsol-optimized structure of Zr3GeH at the meta-GGA SCAN level of DFT.

Properties
energy	-23.4200	eV/atom
M_tot	0.000	μB per atom

a b c (Å): 4.3176 4.3176 4.3176
angles (deg): 90.00 90.00 90.00
With the nearest neighbours (Å) after each atom.
Fractional coordinates of all 5 atoms:
Zr1 0.0000 0.0000 0.5000  2 H 2.16
Zr2 0.0000 0.5000 0.0000  2 H 2.16
Zr3 0.5000 0.0000 0.0000  2 H 2.16
Ge1 0.5000 0.5000 0.5000  12 Zr 3.05
H1 0.0000 0.0000 0.0000  6 Zr 2.16

=====

No. 4
Computed, not measured: a PBEsol-optimized structure of Hf2Ge at the meta-GGA SCAN level of DFT.

Properties
M_tot	0.000	μB per atom
formation enthalpy at 0 K	-16.64	kcal/mol of atoms

a b c (Å): 5.3193 5.3193 5.3193
angles (deg): 104.03 104.03 121.01
With the nearest neighbours (Å) after each atom.
Fractional coordinates of all 6 atoms:
Hf1 0.1551 0.6551 0.8101  4 Ge 2.80, 1 Hf 2.87
Hf2 0.3449 0.1551 0.5000  4 Ge 2.80, 1 Hf 2.87
Hf3 0.6551 0.8449 0.5000  4 Ge 2.80, 1 Hf 2.87
Hf4 0.8449 0.3449 0.1899  4 Ge 2.80, 1 Hf 2.87
Ge1 0.2500 0.2500 0.0000  2 Ge 2.62, 8 Hf 2.80
Ge2 0.7500 0.7500 0.0000  2 Ge 2.62, 8 Hf 2.80

=====

No. 5
Computed, not measured: a PBEsol-optimized structure of Hf3Ge at the meta-GGA SCAN level of DFT.

Properties
M_tot	0.000	μB per atom
formation enthalpy at 0 K	-11.80	kcal/mol of atoms

a b c (Å): 10.8343 10.8343 5.3555
angles (deg): 90.00 90.00 90.00
With the nearest neighbours (Å) after each atom.
Fractional coordinates of all 32 atoms:
Hf1 0.0337 0.9312 0.2454  3 Ge 2.72-2.87, 1 Hf 3.02
Hf2 0.0688 0.5337 0.7454  3 Ge 2.72-2.87, 1 Hf 3.02
Hf3 0.1095 0.2769 0.0291  4 Ge 2.73-2.80
Hf4 0.1433 0.8318 0.7230  2 Ge 2.75-2.81, 2 Hf 2.91-3.02
Hf5 0.1682 0.6433 0.2230  2 Ge 2.75-2.81, 2 Hf 2.91-3.02
Hf6 0.2231 0.1095 0.4709  4 Ge 2.73-2.80
Hf7 0.2769 0.3905 0.4709  4 Ge 2.73-2.80
Hf8 0.3318 0.8567 0.2230  2 Ge 2.75-2.81, 2 Hf 2.91-3.02
Hf9 0.3567 0.6682 0.7230  2 Ge 2.75-2.81, 2 Hf 2.91-3.02
Hf10 0.3905 0.2231 0.0291  4 Ge 2.73-2.80
Hf11 0.4312 0.9663 0.7454  3 Ge 2.72-2.87, 1 Hf 3.02
Hf12 0.4663 0.5688 0.2454  3 Ge 2.72-2.87, 1 Hf 3.02
Hf13 0.5337 0.4312 0.7546  3 Ge 2.72-2.87, 1 Hf 3.02
Hf14 0.5688 0.0337 0.2546  3 Ge 2.72-2.87, 1 Hf 3.02
Hf15 0.6095 0.7769 0.9709  4 Ge 2.73-2.80
Hf16 0.6433 0.3318 0.2770  2 Ge 2.75-2.81, 2 Hf 2.91-3.02
Hf17 0.6682 0.1433 0.7770  2 Ge 2.75-2.81, 2 Hf 2.91-3.02
Hf18 0.7231 0.6095 0.5291  4 Ge 2.73-2.80
Hf19 0.7769 0.8905 0.5291  4 Ge 2.73-2.80
Hf20 0.8318 0.3567 0.7770  2 Ge 2.75-2.81, 2 Hf 2.91-3.02
Hf21 0.8567 0.1682 0.2770  2 Ge 2.75-2.81, 2 Hf 2.91-3.02
Hf22 0.8905 0.7231 0.9709  4 Ge 2.73-2.80
Hf23 0.9312 0.4663 0.2546  3 Ge 2.72-2.87, 1 Hf 3.02
Hf24 0.9663 0.0688 0.7546  3 Ge 2.72-2.87, 1 Hf 3.02
Ge1 0.0458 0.2910 0.5358  9 Hf 2.72-2.87
Ge2 0.2090 0.0458 0.9642  9 Hf 2.72-2.87
Ge3 0.2910 0.4542 0.9642  9 Hf 2.72-2.87
Ge4 0.4542 0.2090 0.5358  9 Hf 2.72-2.87
Ge5 0.5458 0.7910 0.4642  9 Hf 2.72-2.87
Ge6 0.7090 0.5458 0.0358  9 Hf 2.72-2.87
Ge7 0.7910 0.9542 0.0358  9 Hf 2.72-2.87
Ge8 0.9542 0.7090 0.4642  9 Hf 2.72-2.87

=====

No. 6
Computed, not measured: a PBEsol-optimized structure of Hf3HgGe at the meta-GGA SCAN level of DFT.

Properties
M_tot	0.000	μB per atom
formation enthalpy at 0 K	6.60	kcal/mol of atoms

a b c (Å): 4.8791 4.8791 4.8791
angles (deg): 90.00 90.00 90.00
With the nearest neighbours (Å) after each atom.
Fractional coordinates of all 5 atoms:
Hf1 0.0000 0.0000 0.5000  2 Ge 2.44
Hf2 0.0000 0.5000 0.0000  2 Ge 2.44
Hf3 0.5000 0.0000 0.0000  2 Ge 2.44
Hg1 0.5000 0.5000 0.5000  12 Hf 3.45
Ge1 0.0000 0.0000 0.0000  6 Hf 2.44

=====

Please write out number 1 again, unchanged.
Computed, not measured: a PBEsol-optimized structure of YGeH at the meta-GGA SCAN level of DFT.

Properties
energy	-17.6296	eV/atom
M_tot	0.000	μB per atom

a b c (Å): 6.0100 6.0100 3.9313
angles (deg): 90.00 90.00 140.97
With the nearest neighbours (Å) after each atom.
Fractional coordinates of all 6 atoms:
Y1 0.1491 0.8509 0.7500  4 H 2.29-2.30
Y2 0.8509 0.1491 0.2500  4 H 2.29-2.30
Ge1 0.4325 0.5675 0.7500  2 Ge 2.49
Ge2 0.5675 0.4325 0.2500  2 Ge 2.49
H1 0.2546 0.7454 0.2500  4 Y 2.29-2.30
H2 0.7454 0.2546 0.7500  4 Y 2.29-2.30

=====

- Among the records above, which one has the highest M_tot?
  Y2Ge2H